First-principles (PBE-GGA) data for a geometry-optimized NiIr2Cl structure, as listed in the Alexandria database.

abc: 6.089 6.089 6.089
angles: 90.00 90.00 90.00
Space group Fm-3m (No. 225)
Unique sites:
Ni 0.000 0.000 0.000 [4 per cell]
Ir 0.250 0.250 0.250 [8 per cell]
Cl 0.000 0.000 0.500 [4 per cell]

Computed properties:
The calculation puts the energy above the most stable polymorph in this dataset at 0.717 eV per atom. As for the spin magnetization: 6.4 μB per cell. The value obtained for the density of states at the Fermi level is 26.2 states/eV per cell. For the uncorrected formation energy, the calculation gives 1.011 eV/atom.

---

First-principles (PBE-GGA) data for a geometry-optimized NiIrCl2 structure, as listed in the Alexandria database.

abc: 3.4874 3.4874 22.5650
angles: 90.00 90.00 120.00
Space group R3m (No. 160, hexagonal axes)
Unique sites:
Ni 0.0000 0.0000 0.0000 [3 per cell]
Ir 0.0000 0.0000 0.2718 [3 per cell]
Cl 0.0000 0.0000 0.5445 [3 per cell]
Cl 0.0000 0.0000 0.7231 [3 per cell]

Computed properties:
The calculation puts the energy above the most stable polymorph in this dataset at 0.000 eV per atom. As for the spin magnetization: 2.6 μB per cell. The value obtained for the density of states at the Fermi level is 18.8 states/eV per cell. For the uncorrected formation energy, the calculation gives 0.079 eV/atom.

---

> Which of these has the lowest uncorrected formation energy?

NiIrCl2

---

> energy above the most stable polymorph in this dataset of number 1 (NiIr2Cl)?

0.717 eV per atom